Below is a relaxed structure of CaPrZrCrO6, with properties calculated at the PBE+U level.

Output
density of states at the Fermi level	0.000	states/eV/atom
density	5.4	g cm⁻³
uncorrected energy	-80.721	eV/cell

Geometry as POSCAR:
```
CaPrZrCrO6
1.0
0.000 4.022 4.022
4.022 0.000 4.022
4.022 4.022 0.000
Ca Pr Zr Cr O
1 1 1 1 6
direct
0.000 0.000 0.000
0.500 0.500 0.500
0.250 0.250 0.250
0.750 0.750 0.750
0.506 0.506 0.994
0.506 0.994 0.506
0.506 0.994 0.994
0.994 0.506 0.506
0.994 0.506 0.994
0.994 0.994 0.506
```